Run i
Compound: LiCa2I
Source: Alexandria via LeMat-Bulk
Functional: PBE
Structure: optimized geometry

Total magnetization in μB per atom: 0.00

Geometry as CIF:
```
data_LiCa2I
_cell_length_a 3.9169
_cell_length_b 3.9169
_cell_length_c 8.5903
_cell_angle_alpha 90.00
_cell_angle_beta 90.00
_cell_angle_gamma 90.00
_space_group_name_H-M_alt 'P 4/m m m'
_space_group_IT_number 123
_space_group_name_Hall '-P 4 2'
loop_
_atom_site_label
_atom_site_fract_x
_atom_site_fract_y
_atom_site_fract_z
_atom_site_occupancy
Li1 0.0000 0.0000 0.0000 1
Ca1 0.5000 0.5000 0.2284 1
I1 0.0000 0.0000 0.5000 1
```

Run ii
Compound: LiCa2I
Source: Alexandria via LeMat-Bulk
Functional: PBE
Structure: optimized geometry

Total magnetization in μB per atom: 0.00

Geometry as CIF:
```
data_LiCa2I
_cell_length_a 3.9160
_cell_length_b 3.9160
_cell_length_c 34.3324
_cell_angle_alpha 90.00
_cell_angle_beta 90.00
_cell_angle_gamma 120.00
_space_group_name_H-M_alt 'R -3 m'
_space_group_IT_number 166
_space_group_name_Hall '-R 3 2"'
loop_
_atom_site_label
_atom_site_fract_x
_atom_site_fract_y
_atom_site_fract_z
_atom_site_occupancy
Li1 0.0000 0.0000 0.0000 1
Ca1 0.0000 0.0000 0.0952 1
I1 0.0000 0.0000 0.5000 1
```

Going by the energies, run i is most stable and the next is 139 meV/atom up.

Run i
Compound: Li2Ca2I
Source: Alexandria via LeMat-Bulk
Functional: PBE
Structure: optimized geometry

Total magnetization in μB per atom: 0.00

Geometry as CIF:
```
data_Li2Ca2I
_cell_length_a 3.9338
_cell_length_b 3.9338
_cell_length_c 19.7626
_cell_angle_alpha 90.00
_cell_angle_beta 90.00
_cell_angle_gamma 90.00
_space_group_name_H-M_alt 'I 4/m m m'
_space_group_IT_number 139
_space_group_name_Hall '-I 4 2'
loop_
_atom_site_label
_atom_site_fract_x
_atom_site_fract_y
_atom_site_fract_z
_atom_site_occupancy
Li1 0.0000 0.5000 0.2500 1
Ca1 0.0000 0.0000 0.1123 1
I1 0.0000 0.0000 0.5000 1
```

Run ii
Compound: Li2Ca2I
Source: Alexandria via LeMat-Bulk
Functional: PBE
Structure: optimized geometry

Total magnetization in μB per atom: 0.00

Geometry as CIF:
```
data_Li2Ca2I
_cell_length_a 8.7322
_cell_length_b 8.7322
_cell_length_c 4.4880
_cell_angle_alpha 90.00
_cell_angle_beta 90.00
_cell_angle_gamma 90.00
_space_group_name_H-M_alt 'P 4/m b m'
_space_group_IT_number 127
_space_group_name_Hall '-P 4 2ab'
loop_
_atom_site_label
_atom_site_fract_x
_atom_site_fract_y
_atom_site_fract_z
_atom_site_occupancy
Li1 0.1178 0.3822 0.0000 1
Ca1 0.1714 0.6714 0.5000 1
I1 0.0000 0.0000 0.5000 1
```

Run iii
Compound: Li2Ca2I
Source: Alexandria via LeMat-Bulk
Functional: PBE
Structure: optimized geometry

Total magnetization in μB per atom: 0.00

Geometry as CIF:
```
data_Li2Ca2I
_cell_length_a 8.0557
_cell_length_b 8.0557
_cell_length_c 4.7694
_cell_angle_alpha 90.00
_cell_angle_beta 90.00
_cell_angle_gamma 90.00
_space_group_name_H-M_alt 'P 4/m b m'
_space_group_IT_number 127
_space_group_name_Hall '-P 4 2ab'
loop_
_atom_site_label
_atom_site_fract_x
_atom_site_fract_y
_atom_site_fract_z
_atom_site_occupancy
Li1 0.1328 0.3672 0.0000 1
Ca1 0.1603 0.6603 0.5000 1
I1 0.0000 0.0000 0.0000 1
```

Going by the energies, run i is most stable and the next is 52 meV/atom up.